a:
# LaDyErAl

A relaxed LaDyErAl crystal (PBE-GGA, the Alexandria database).

a b c (Å): 3.5383 3.5383 9.1688
angles (deg): 90.00 90.00 90.00
Space group P4mm (No. 99)
Unique sites:
1 La 0.0000 0.0000 0.0000
2 Dy 0.5000 0.5000 0.7027
3 Er 0.5000 0.5000 0.2923
4 Al 0.0000 0.0000 0.4956

Calculated values
density = 7.17 g cm⁻³
Fermi-level density of states = 3.94 states/eV/cell

---

b:
# LaDyErAl

A relaxed LaDyErAl crystal (PBE-GGA, the Alexandria database).

a b c (Å): 7.6739 7.6739 7.6739
angles (deg): 90.00 90.00 90.00
Space group F-43m (No. 216)
Unique sites:
1 La 0.0000 0.0000 0.0000
2 Dy 0.0000 0.0000 0.5000
3 Er 0.2500 0.2500 0.2500
4 Al 0.2500 0.2500 0.7500

Calculated values
density = 7.29 g cm⁻³
Fermi-level density of states = 27.02 states/eV/cell

---

What should be chosen as the most stable of them? Choose a.

---

a:
# DyErAlPd

A relaxed DyErAlPd crystal (PBE-GGA, the Alexandria database).

a b c (Å): 4.4605 3.7577 11.1089
angles (deg): 90.00 90.00 90.00
Space group Amm2 (No. 38)
Unique sites:
1 Dy 0.0000 0.0000 0.0000
2 Er 0.5000 0.0000 0.7063
3 Al 0.0000 0.0000 0.2810
4 Pd 0.5000 0.0000 0.4232

Calculated values
density = 8.26 g cm⁻³
Fermi-level density of states = 6.97 states/eV/cell

---

b:
# DyErAlPd

A relaxed DyErAlPd crystal (PBE-GGA, the Alexandria database).

a b c (Å): 7.1187 7.1187 7.1187
angles (deg): 90.00 90.00 90.00
Space group F-43m (No. 216)
Unique sites:
1 Dy 0.0000 0.0000 0.0000
2 Er 0.0000 0.0000 0.5000
3 Al 0.2500 0.2500 0.2500
4 Pd 0.2500 0.2500 0.7500

Calculated values
density = 8.53 g cm⁻³
Fermi-level density of states = 12.88 states/eV/cell

---

What should be chosen as the most stable of them? Choose a.

---

a:
# DyErScAl

A relaxed DyErScAl crystal (PBE-GGA, the Alexandria database).

a b c (Å): 4.5683 4.6697 4.6706
angles (deg): 90.00 90.00 90.00
Space group Pmmm (No. 47)
Unique sites:
1 Dy 0.0000 0.0000 0.0000
2 Er 0.0000 0.5000 0.5000
3 Sc 0.5000 0.0000 0.5000
4 Al 0.5000 0.5000 0.0000

Calculated values
density = 6.69 g cm⁻³
Fermi-level density of states = 5.08 states/eV/cell

---

b:
# DyErScAl

A relaxed DyErScAl crystal (PBE-GGA, the Alexandria database).

a b c (Å): 7.3716 7.3716 7.3716
angles (deg): 90.00 90.00 90.00
Space group F-43m (No. 216)
Unique sites:
1 Dy 0.0000 0.0000 0.0000
2 Er 0.0000 0.0000 0.5000
3 Sc 0.2500 0.2500 0.7500
4 Al 0.2500 0.2500 0.2500

Calculated values
density = 6.66 g cm⁻³
Fermi-level density of states = 22.51 states/eV/cell

---

What should be chosen as the most stable of them? Choose a.

---

a:
# SmDyErAl

A relaxed SmDyErAl crystal (PBE-GGA, the Alexandria database).

a b c (Å): 7.5850 7.5850 7.5850
angles (deg): 90.00 90.00 90.00
Space group F-43m (No. 216)
Unique sites:
1 Sm 0.0000 0.0000 0.0000
2 Dy 0.0000 0.0000 0.5000
3 Er 0.2500 0.2500 0.2500
4 Al 0.2500 0.2500 0.7500

Calculated values
density = 7.72 g cm⁻³
Fermi-level density of states = 26.26 states/eV/cell

---

b:
# SmDyErAl

A relaxed SmDyErAl crystal (PBE-GGA, the Alexandria database).

a b c (Å): 3.5149 3.5149 9.0358
angles (deg): 90.00 90.00 90.00
Space group P4mm (No. 99)
Unique sites:
1 Sm 0.0000 0.0000 0.0000
2 Dy 0.5000 0.5000 0.7086
3 Er 0.5000 0.5000 0.2867
4 Al 0.0000 0.0000 0.4956

Calculated values
density = 7.54 g cm⁻³
Fermi-level density of states = 3.25 states/eV/cell

---

What should be chosen as the most stable of them? Choose b.

---

a:
# DyErAlTl

A relaxed DyErAlTl crystal (PBE-GGA, the Alexandria database).

a b c (Å): 3.6042 3.6042 7.7524
angles (deg): 90.00 90.00 90.00
Space group P4mm (No. 99)
Unique sites:
1 Dy 0.0000 0.0000 0.0000
2 Er 0.0000 0.0000 0.5306
3 Al 0.5000 0.5000 0.7633
4 Tl 0.5000 0.5000 0.2684

Calculated values
density = 9.25 g cm⁻³
Fermi-level density of states = 1.58 states/eV/cell

---

b:
# DyErAlTl

A relaxed DyErAlTl crystal (PBE-GGA, the Alexandria database).

a b c (Å): 7.3896 7.3896 7.3896
angles (deg): 90.00 90.00 90.00
Space group F-43m (No. 216)
Unique sites:
1 Dy 0.0000 0.0000 0.0000
2 Er 0.0000 0.0000 0.5000
3 Al 0.2500 0.2500 0.7500
4 Tl 0.2500 0.2500 0.2500

Calculated values
density = 9.24 g cm⁻³
Fermi-level density of states = 5.32 states/eV/cell

---

What should be chosen as the most stable of them? Choose a.

---

a:
# DyErTmAl

A relaxed DyErTmAl crystal (PBE-GGA, the Alexandria database).

a b c (Å): 4.7120 4.7213 4.7311
angles (deg): 90.00 90.00 90.00
Space group Pmmm (No. 47)
Unique sites:
1 Dy 0.0000 0.0000 0.0000
2 Er 0.0000 0.5000 0.5000
3 Tm 0.5000 0.0000 0.5000
4 Al 0.5000 0.5000 0.0000

Calculated values
density = 8.29 g cm⁻³
Fermi-level density of states = 4.63 states/eV/cell

---

b:
# DyErTmAl

A relaxed DyErTmAl crystal (PBE-GGA, the Alexandria database).

a b c (Å): 7.4976 7.4976 7.4976
angles (deg): 90.00 90.00 90.00
Space group F-43m (No. 216)
Unique sites:
1 Dy 0.0000 0.0000 0.0000
2 Er 0.0000 0.0000 0.5000
3 Tm 0.2500 0.2500 0.7500
4 Al 0.2500 0.2500 0.2500

Calculated values
density = 8.28 g cm⁻³
Fermi-level density of states = 21.98 states/eV/cell

---

What should be chosen as the most stable of them? Choose a.

---

a:
# DyYErAl

A relaxed DyYErAl crystal (PBE-GGA, the Alexandria database).

a b c (Å): 7.5499 7.5499 7.5499
angles (deg): 90.00 90.00 90.00
Space group F-43m (No. 216)
Unique sites:
1 Dy 0.0000 0.0000 0.0000
2 Y 0.0000 0.0000 0.5000
3 Er 0.2500 0.2500 0.7500
4 Al 0.2500 0.2500 0.2500

Calculated values
density = 6.88 g cm⁻³
Fermi-level density of states = 24.71 states/eV/cell

---

b:
# DyYErAl

A relaxed DyYErAl crystal (PBE-GGA, the Alexandria database).

a b c (Å): 4.7369 4.7471 4.7712
angles (deg): 90.00 90.00 90.00
Space group Pmmm (No. 47)
Unique sites:
1 Dy 0.0000 0.0000 0.0000
2 Y 0.0000 0.5000 0.5000
3 Er 0.5000 0.5000 0.0000
4 Al 0.5000 0.0000 0.5000

Calculated values
density = 6.90 g cm⁻³
Fermi-level density of states = 5.37 states/eV/cell

---

What should be chosen as the most stable of them? Choose b.

---

a:
# DyErAlZn

A relaxed DyErAlZn crystal (PBE-GGA, the Alexandria database).

a b c (Å): 7.1498 7.1498 7.1498
angles (deg): 90.00 90.00 90.00
Space group F-43m (No. 216)
Unique sites:
1 Dy 0.0000 0.0000 0.0000
2 Er 0.0000 0.0000 0.5000
3 Al 0.2500 0.2500 0.7500
4 Zn 0.2500 0.2500 0.2500

Calculated values
density = 7.67 g cm⁻³
Fermi-level density of states = 11.33 states/eV/cell

---

b:
# DyErAlZn

A relaxed DyErAlZn crystal (PBE-GGA, the Alexandria database).

a b c (Å): 3.5530 3.5530 7.2051
angles (deg): 90.00 90.00 90.00
Space group P4mm (No. 99)
Unique sites:
1 Dy 0.0000 0.0000 0.0000
2 Er 0.0000 0.0000 0.5097
3 Al 0.5000 0.5000 0.2577
4 Zn 0.5000 0.5000 0.7494

Calculated values
density = 7.71 g cm⁻³
Fermi-level density of states = 3.06 states/eV/cell

---

What should be chosen as the most stable of them? Choose b.

---

a:
# Eu2DyAl

A relaxed Eu2DyAl crystal (PBE-GGA, the Alexandria database).

a b c (Å): 3.7451 3.7451 8.9403
angles (deg): 90.00 90.00 90.00
Space group P4/mmm (No. 123)
Unique sites:
1 Eu 0.0000 0.0000 0.2095
2 Dy 0.5000 0.5000 0.5000
3 Al 0.5000 0.5000 0.0000

Calculated values
density = 6.53 g cm⁻³
Fermi-level density of states = 3.98 states/eV/cell

---

b:
# Eu2DyAl

A relaxed Eu2DyAl crystal (PBE-GGA, the Alexandria database).

a b c (Å): 4.8215 4.8215 5.1199
angles (deg): 90.00 90.00 90.00
Space group P4/mmm (No. 123)
Unique sites:
1 Eu 0.0000 0.5000 0.0000
2 Dy 0.0000 0.0000 0.5000
3 Al 0.5000 0.5000 0.5000

Calculated values
density = 6.88 g cm⁻³
Fermi-level density of states = 3.53 states/eV/cell

---

c:
# Eu2DyAl

A relaxed Eu2DyAl crystal (PBE-GGA, the Alexandria database).

a b c (Å): 7.8344 7.8344 7.8344
angles (deg): 90.00 90.00 90.00
Space group Fm-3m (No. 225)
Unique sites:
1 Eu 0.2500 0.2500 0.2500
2 Dy 0.0000 0.0000 0.0000
3 Al 0.0000 0.0000 0.5000

Calculated values
density = 6.82 g cm⁻³
Fermi-level density of states = 12.14 states/eV/cell

---

What should be chosen as the most stable of them? Choose b.

---

a:
# Dy2AlGa2

A relaxed Dy2AlGa2 crystal (PBE-GGA, the Alexandria database).

a b c (Å): 4.1134 5.9107 9.0357
angles (deg): 90.00 90.00 90.00
Space group Immm (No. 71)
Unique sites:
1 Dy 0.0000 0.0000 0.2120
2 Al 0.0000 0.5000 0.0000
3 Ga 0.0000 0.2783 0.5000

Calculated values
density = 7.43 g cm⁻³
Fermi-level density of states = 6.88 states/eV/cell

---

b:
# Dy2AlGa2

A relaxed Dy2AlGa2 crystal (PBE-GGA, the Alexandria database).

a b c (Å): 10.9111 4.3583 10.3871
angles (deg): 90.00 117.54 90.00
Space group C2/m (No. 12)
Unique sites:
1 Dy 0.0034 0.0000 0.1786
2 Dy 0.1838 0.0000 0.5991
3 Al 0.2168 0.5000 0.8444
4 Ga 0.0263 0.5000 0.3883
5 Ga 0.1388 0.5000 0.0639

Calculated values
density = 7.45 g cm⁻³
Fermi-level density of states = 15.21 states/eV/cell

---

What should be chosen as the most stable of them? Choose b.

---

a:
# DyAlGa3

A relaxed DyAlGa3 crystal (PBE-GGA, the Alexandria database).

a b c (Å): 4.3091 6.7064 6.9302
angles (deg): 90.00 90.00 90.00
Space group Pmmn (No. 59, origin choice 2)
Unique sites:
1 Dy 0.2500 0.2500 0.1821
2 Al 0.2500 0.7500 0.4796
3 Ga 0.2500 0.0569 0.7160
4 Ga 0.2500 0.7500 0.1068

Calculated values
density = 6.61 g cm⁻³
Fermi-level density of states = 4.35 states/eV/cell

---

b:
# DyAlGa3

A relaxed DyAlGa3 crystal (PBE-GGA, the Alexandria database).

a b c (Å): 9.5000 2.9878 7.7410
angles (deg): 90.00 90.00 90.00
Space group Pmma (No. 51)
Unique sites:
1 Dy 0.2500 0.0000 0.2198
2 Al 0.2500 0.5000 0.8448
3 Ga 0.0000 0.5000 0.0000
4 Ga 0.0291 0.5000 0.6542

Calculated values
density = 6.03 g cm⁻³
Fermi-level density of states = 6.30 states/eV/cell

---

What should be chosen as the most stable of them? Choose a.

---

a:
# DyAl2Ga4

A relaxed DyAl2Ga4 crystal (PBE-GGA, the Alexandria database).

a b c (Å): 4.1395 4.1395 30.4282
angles (deg): 90.00 90.00 120.00
Space group R-3m (No. 166, hexagonal axes)
Unique sites:
1 Dy 0.0000 0.0000 0.0000
2 Al 0.0000 0.0000 0.1876
3 Ga 0.0000 0.0000 0.0999
4 Ga 0.0000 0.0000 0.2731

Calculated values
density = 5.47 g cm⁻³
Fermi-level density of states = 8.82 states/eV/cell

---

b:
# DyAl2Ga4

A relaxed DyAl2Ga4 crystal (PBE-GGA, the Alexandria database).

a b c (Å): 3.9824 3.9824 9.5641
angles (deg): 90.00 90.00 90.00
Space group P-42m (No. 111)
Unique sites:
1 Dy 0.0000 0.0000 0.0000
2 Al 0.0000 0.5000 0.5000
3 Ga 0.2575 0.2575 0.2614

Calculated values
density = 5.42 g cm⁻³
Fermi-level density of states = 3.25 states/eV/cell

---

What should be chosen as the most stable of them? Choose a.